# 1
This record from Alexandria describes a relaxed structure of Sr2NiIr. The functional is PBE-GGA.

abc: 4.224 4.225 8.382
angles: 75.45 75.46 59.98
Site moments in Bohr magnetons follow the coordinates.
Sites, in units of the cell vectors:
Sr 0.885 0.647 0.583  0.00
Sr 0.721 0.484 0.076  0.00
Ni 0.469 0.232 0.829  0.12
Ir 0.136 0.899 0.830  0.07

Values from the calculation:
- D(E_F) (states/eV/cell) = 5.751
- E_form (kJ/mol of atoms) = -20


# 2
This record from Alexandria describes a relaxed structure of MnS. The functional is PBE-GGA.

abc: 9.897 9.897 3.577
angles: 90.00 90.00 90.00
Site moments in Bohr magnetons follow the coordinates.
Sites, in units of the cell vectors:
Mn 0.796 0.383 0.500  2.92
Mn 0.204 0.617 0.500  2.92
Mn 0.617 0.796 0.500  2.92
Mn 0.383 0.204 0.500  2.92
Mn 0.879 0.554 0.000  1.63
Mn 0.121 0.446 0.000  1.63
Mn 0.446 0.879 0.000  1.63
Mn 0.554 0.121 0.000  1.63
S 0.756 0.611 0.500  -0.06
S 0.244 0.389 0.500  -0.06
S 0.389 0.756 0.500  -0.06
S 0.611 0.244 0.500  -0.06
S 0.928 0.334 0.000  -0.07
S 0.072 0.666 0.000  -0.07
S 0.666 0.928 0.000  -0.07
S 0.334 0.072 0.000  -0.07

Values from the calculation:
- ΔE_f (raw) (kJ/mol of atoms) = -39.2
- D(E_F) (states/eV/cell) = 10.447


# 3
This record from Alexandria describes a relaxed structure of Rb2BaGa. The functional is PBE-GGA.

abc: 5.358 5.358 15.235
angles: 79.87 79.87 90.00
Site moments in Bohr magnetons follow the coordinates.
Sites, in units of the cell vectors:
Ga 0.500 0.500 0.000  0.07
Ga 0.250 0.750 0.500  0.07
Ba 0.000 0.000 0.000  0.05
Ba 0.750 0.250 0.500  0.05
Rb 0.602 0.125 0.250  0.00
Rb 0.148 0.625 0.250  0.00
Rb 0.375 0.398 0.750  0.00
Rb 0.875 0.852 0.750  0.00

Values from the calculation:
- D(E_F) (states/eV/cell) = 9.040
- E_form (kJ/mol of atoms) = 23


# 4
This record from Alexandria describes a relaxed structure of Tm2Al4PdAu3. The functional is PBE-GGA.

abc: 4.248 4.248 10.651
angles: 90.00 90.00 90.00
Sites, in units of the cell vectors:
Tm 0.500 0.000 0.252
Tm 0.000 0.500 0.748
Al 0.500 0.500 0.000
Al 0.000 0.000 0.000
Al 0.500 0.000 0.629
Al 0.000 0.500 0.371
Pd 0.500 0.500 0.500
Au 0.000 0.000 0.500
Au 0.500 0.000 0.861
Au 0.000 0.500 0.139

Values from the calculation:
- D(E_F) (states/eV/cell) = 4.461
- E_form (kJ/mol of atoms) = -70


# 5
This record from Alexandria describes a relaxed structure of Pu8GaRh5. The functional is PBE-GGA.

abc: 7.386 7.386 7.386
angles: 109.22 109.97 109.22
Site moments in Bohr magnetons follow the coordinates.
Sites, in units of the cell vectors:
Pu 0.120 0.763 0.021  5.08
Pu 0.979 0.099 0.742  5.08
Pu 0.760 0.243 0.372  -5.03
Pu 0.628 0.389 0.871  -5.03
Pu 0.482 0.611 0.240  -5.03
Pu 0.643 0.901 0.880  5.08
Pu 0.258 0.237 0.357  5.08
Pu 0.129 0.757 0.518  -5.03
Ga 0.250 0.500 0.750  0.02
Rh 0.012 0.391 0.134  0.00
Rh 0.866 0.879 0.258  0.00
Rh 0.742 0.609 0.621  0.00
Rh 0.500 0.000 0.500  0.15
Rh 0.379 0.121 0.988  0.00

Values from the calculation:
- D(E_F) (states/eV/cell) = 69.417
- E_form (kJ/mol of atoms) = -28


# 6
This record from Alexandria describes a relaxed structure of Li2TaCo2. The functional is PBE-GGA.

abc: 6.699 6.699 2.791
angles: 90.00 90.00 90.00
Sites, in units of the cell vectors:
Li 0.131 0.631 0.500
Li 0.631 0.869 0.500
Li 0.869 0.369 0.500
Li 0.369 0.131 0.500
Co 0.332 0.832 0.000
Co 0.832 0.668 0.000
Co 0.668 0.168 0.000
Co 0.168 0.332 0.000
Ta 0.000 0.000 0.000
Ta 0.500 0.500 0.000

Values from the calculation:
- D(E_F) (states/eV/cell) = 5.197
- E_form (kJ/mol of atoms) = 32


# 7
This record from Alexandria describes a relaxed structure of Sm2CrN4. The functional is PBE-GGA.

abc: 5.445 7.106 9.864
angles: 90.00 90.00 90.00
Sites, in units of the cell vectors:
Sm 0.750 0.518 0.311
Sm 0.250 0.482 0.689
Sm 0.250 0.982 0.811
Sm 0.750 0.018 0.189
Sm 0.750 0.849 0.571
Sm 0.250 0.151 0.429
Sm 0.250 0.651 0.071
Sm 0.750 0.349 0.929
Cr 0.750 0.776 0.927
Cr 0.250 0.224 0.073
Cr 0.250 0.724 0.427
Cr 0.750 0.276 0.573
N 0.493 0.673 0.856
N 0.507 0.327 0.144
N 0.507 0.827 0.356
N 0.993 0.327 0.144
N 0.493 0.173 0.644
N 0.007 0.673 0.856
N 0.007 0.173 0.644
N 0.993 0.827 0.356
N 0.750 0.018 0.915
N 0.250 0.982 0.085
N 0.250 0.482 0.415
N 0.750 0.518 0.585
N 0.750 0.205 0.403
N 0.250 0.795 0.597
N 0.250 0.295 0.903
N 0.750 0.705 0.097

Values from the calculation:
- ΔE_f (raw) (kJ/mol of atoms) = -106.3


# 8
This record from Alexandria describes a relaxed structure of AgGe2Rh. The functional is PBE-GGA.

abc: 6.226 6.226 6.394
angles: 60.86 60.86 90.00
Sites, in units of the cell vectors:
Ge 0.595 0.125 0.250
Ge 0.155 0.625 0.250
Ge 0.375 0.405 0.750
Ge 0.875 0.845 0.750
Rh 0.500 0.500 0.000
Rh 0.250 0.750 0.500
Ag 0.000 0.000 0.000
Ag 0.750 0.250 0.500

Values from the calculation:
- D(E_F) (states/eV/cell) = 4.966
- E_form (kJ/mol of atoms) = 23


# 9
This record from Alexandria describes a relaxed structure of FeCo2. The functional is PBE-GGA.

abc: 4.812 4.812 6.017
angles: 74.87 74.87 29.86
Site moments in Bohr magnetons follow the coordinates.
Sites, in units of the cell vectors:
Fe 0.944 0.944 0.611  2.45
Fe 0.276 0.276 0.952  2.43
Co 0.004 0.004 0.000  1.60
Co 0.609 0.609 0.281  1.48
Co 0.332 0.332 0.328  1.58
Co 0.669 0.669 0.662  1.59

Values from the calculation:
- D(E_F) (states/eV/cell) = 6.521
- E_form (kJ/mol of atoms) = 6


# 10
This record from Alexandria describes a relaxed structure of Li3Ca4Rh2. The functional is PBE-GGA.

abc: 4.287 6.822 8.236
angles: 107.19 105.09 90.00
Sites, in units of the cell vectors:
Li 0.101 0.230 0.202
Li 0.899 0.770 0.798
Li 0.000 0.500 0.000
Ca 0.228 0.688 0.457
Ca 0.772 0.312 0.543
Ca 0.567 0.833 0.134
Ca 0.433 0.167 0.866
Rh 0.392 0.547 0.784
Rh 0.608 0.453 0.216

Values from the calculation:
- D(E_F) (states/eV/cell) = 2.705
- E_form (kJ/mol of atoms) = -20


# 11
This record from Alexandria describes a relaxed structure of KReSi. The functional is PBE-GGA.

abc: 4.425 4.425 4.425
angles: 60.00 60.00 60.00
Sites, in units of the cell vectors:
K 0.500 0.500 0.500
Re 0.250 0.250 0.250
Si 0.000 0.000 0.000

Values from the calculation:
- ΔE_f (raw) (kJ/mol of atoms) = 151.5
- D(E_F) (states/eV/cell) = 0.814


# 12
This record from Alexandria describes a relaxed structure of BiMoSe2. The functional is PBE-GGA.

abc: 3.351 5.803 10.296
angles: 84.91 80.65 90.00
Sites, in units of the cell vectors:
Bi 0.224 0.921 0.802
Bi 0.851 0.421 0.802
Mo 0.037 0.171 0.302
Mo 0.537 0.671 0.302
Se 0.621 0.364 0.135
Se 0.954 0.478 0.469
Se 0.454 0.978 0.469
Se 0.121 0.864 0.135

Values from the calculation:
- ΔE_f (raw) (kJ/mol of atoms) = -22.9
- D(E_F) (states/eV/cell) = 3.099


# 13
This record from Alexandria describes a relaxed structure of Zn2CuPt. The functional is PBE-GGA.

abc: 3.739 3.739 9.219
angles: 78.30 78.30 90.00
Sites, in units of the cell vectors:
Zn 0.626 0.125 0.250
Zn 0.124 0.625 0.250
Zn 0.375 0.374 0.750
Zn 0.875 0.876 0.750
Cu 0.500 0.500 0.000
Cu 0.250 0.750 0.500
Pt 0.000 0.000 0.000
Pt 0.750 0.250 0.500

Values from the calculation:
- D(E_F) (states/eV/cell) = 2.257
- E_form (kJ/mol of atoms) = -6


# 14
This record from Alexandria describes a relaxed structure of TbPr2N. The functional is PBE-GGA.

abc: 3.608 3.608 9.995
angles: 79.60 79.60 60.00
Sites, in units of the cell vectors:
Pr 0.119 0.119 0.643
Pr 0.881 0.881 0.357
Tb 0.000 0.000 0.000
N 0.500 0.500 0.500

Values from the calculation:
- ΔE_f (raw) (kJ/mol of atoms) = -48.9
- D(E_F) (states/eV/cell) = 3.350


# 15
This record from Alexandria describes a relaxed structure of BeCdP. The functional is PBE-GGA.

abc: 6.472 8.205 8.205
angles: 77.14 66.77 66.77
Sites, in units of the cell vectors:
Cd 0.467 0.852 0.352
Cd 0.670 0.148 0.648
Cd 0.533 0.604 0.104
Cd 0.241 0.396 0.896
Cd 0.769 0.356 0.856
Cd 0.981 0.644 0.144
Be 0.697 0.500 0.500
Be 0.697 0.000 0.000
Be 0.240 0.922 0.714
Be 0.876 0.078 0.286
Be 0.876 0.786 0.578
Be 0.240 0.214 0.422
P 0.103 0.812 0.312
P 0.227 0.188 0.688
P 0.573 0.710 0.647
P 0.930 0.290 0.353
P 0.930 0.853 0.790
P 0.573 0.147 0.210

Values from the calculation:
- D(E_F) (states/eV/cell) = 4.001
- E_form (kJ/mol of atoms) = 8


# 16
This record from Alexandria describes a relaxed structure of VPtS. The functional is PBE-GGA.

abc: 4.304 7.673 6.327
angles: 96.92 109.89 90.00
Site moments in Bohr magnetons follow the coordinates.
Sites, in units of the cell vectors:
Pt 0.047 0.339 0.093  0.00
Pt 0.466 0.155 0.931  -0.04
Pt 0.534 0.845 0.069  -0.04
Pt 0.953 0.661 0.907  0.00
S 0.204 0.571 0.407  -0.01
S 0.742 0.856 0.484  -0.06
S 0.796 0.429 0.593  -0.01
S 0.258 0.144 0.516  -0.06
V 0.386 0.447 0.772  -0.05
V 0.672 0.149 0.345  1.12
V 0.614 0.553 0.228  -0.05
V 0.328 0.851 0.655  1.12

Values from the calculation:
- ΔE_f (raw) (kJ/mol of atoms) = -29.6
- D(E_F) (states/eV/cell) = 9.855


# 17
This record from Alexandria describes a relaxed structure of CeURu2. The functional is PBE-GGA.

abc: 8.101 4.103 6.525
angles: 90.02 117.48 120.42
Sites, in units of the cell vectors:
Ce 0.144 0.394 0.288
Ce 0.856 0.606 0.712
U 0.649 0.899 0.299
U 0.351 0.101 0.701
Ru 0.382 0.131 0.191
Ru 0.809 0.560 0.191
Ru 0.618 0.869 0.809
Ru 0.191 0.440 0.809

Values from the calculation:
- D(E_F) (states/eV/cell) = 11.262
- E_form (kJ/mol of atoms) = -26


# 18
This record from Alexandria describes a relaxed structure of Cs2Tl3In4Sb. The functional is PBE-GGA.

abc: 5.297 5.297 12.754
angles: 90.00 90.00 90.00
Sites, in units of the cell vectors:
Cs 0.500 0.000 0.255
Cs 0.000 0.500 0.745
Tl 0.000 0.000 0.500
Tl 0.500 0.000 0.870
Tl 0.000 0.500 0.130
In 0.500 0.500 0.000
In 0.000 0.000 0.000
In 0.500 0.000 0.630
In 0.000 0.500 0.370
Sb 0.500 0.500 0.500

Values from the calculation:
- ΔE_f (raw) (kJ/mol of atoms) = -10.7
- D(E_F) (states/eV/cell) = 5.650


# 19
This record from Alexandria describes a relaxed structure of Ac3TbTl4. The functional is PBE-GGA.

abc: 3.982 3.982 16.787
angles: 90.00 90.00 90.00
Sites, in units of the cell vectors:
Ac 0.500 0.500 0.237
Ac 0.500 0.500 0.500
Ac 0.500 0.500 0.763
Tb 0.500 0.500 0.000
Tl 0.000 0.000 0.896
Tl 0.000 0.000 0.104
Tl 0.000 0.000 0.367
Tl 0.000 0.000 0.633

Values from the calculation:
- D(E_F) (states/eV/cell) = 6.957
- E_form (kJ/mol of atoms) = -34


# 20
This record from Alexandria describes a relaxed structure of CeTi2Pd7. The functional is PBE-GGA.

abc: 4.424 7.432 7.432
angles: 122.39 90.00 90.00
Site moments in Bohr magnetons follow the coordinates.
Sites, in units of the cell vectors:
Ce 0.000 0.000 0.000  0.39
Ti 0.500 0.694 0.306  0.09
Ti 0.500 0.306 0.694  0.09
Pd 0.000 0.782 0.218  0.00
Pd 0.000 0.218 0.782  0.00
Pd 0.500 0.070 0.302  -0.01
Pd 0.500 0.930 0.698  -0.01
Pd 0.500 0.302 0.070  -0.01
Pd 0.500 0.698 0.930  -0.01
Pd 0.500 0.500 0.500  -0.01

Values from the calculation:
- D(E_F) (states/eV/cell) = 11.379
- E_form (kJ/mol of atoms) = -13


# 21
This record from Alexandria describes a relaxed structure of Mn2FeN2. The functional is PBE-GGA.

abc: 4.474 4.474 5.364
angles: 90.00 90.00 95.27
Site moments in Bohr magnetons follow the coordinates.
Sites, in units of the cell vectors:
Mn 0.672 0.036 0.331  0.58
Mn 0.036 0.672 0.331  0.58
Mn 0.328 0.964 0.831  0.58
Mn 0.964 0.328 0.831  0.58
Fe 0.529 0.529 0.109  1.78
Fe 0.471 0.471 0.609  1.78
N 0.659 0.118 0.662  -0.06
N 0.118 0.659 0.662  -0.06
N 0.341 0.882 0.162  -0.06
N 0.882 0.341 0.162  -0.06

Values from the calculation:
- ΔE_f (raw) (kJ/mol of atoms) = 0.0
- D(E_F) (states/eV/cell) = 9.132